A plane-wave DFT calculation with GGA+U was carried out for a geometry-optimized NaNiPO4 structure.

a = 4.9716 Å, b = 10.2545 Å, c = 6.1813 Å
α = 90.00°, β = 90.00°, γ = 90.00°
Closest atoms and distances in Å follow each position.
Fractional coordinates of all 28 atoms:
O (0.3040, 0.1785, 0.4478)  1 P 1.57
O (0.1960, 0.6785, 0.4478)  1 P 1.57
O (0.1960, 0.6785, 0.0522)  1 P 1.57
O (0.6960, 0.8215, 0.9478)  1 P 1.57
O (0.7493, 0.1156, 0.2500)  1 P 1.54
O (0.7507, 0.6156, 0.2500)  1 P 1.54
O (0.8441, 0.5365, 0.7500)  1 P 1.55
O (0.1559, 0.4635, 0.2500)  1 P 1.55
O (0.6559, 0.0365, 0.7500)  1 P 1.55
O (0.8040, 0.3215, 0.5522)  1 P 1.57
O (0.2507, 0.8844, 0.7500)  1 P 1.54
O (0.3040, 0.1785, 0.0522)  1 P 1.57
O (0.3441, 0.9635, 0.2500)  1 P 1.55
O (0.2493, 0.3844, 0.7500)  1 P 1.54
O (0.8040, 0.3215, 0.9478)  1 P 1.57
O (0.6960, 0.8215, 0.5522)  1 P 1.57
Na (0.5000, 0.5000, 0.5000)  6 O 2.31-2.40
Na (0.0000, 0.0000, 0.5000)  6 O 2.31-2.40
Na (0.5000, 0.5000, 0.0000)  6 O 2.31-2.40
Na (0.0000, 0.0000, 0.0000)  6 O 2.31-2.40
P (0.0598, 0.6077, 0.2500)  4 O 1.54-1.57
P (0.9402, 0.3923, 0.7500)  4 O 1.54-1.57
P (0.4402, 0.1077, 0.2500)  4 O 1.54-1.57
P (0.5598, 0.8923, 0.7500)  4 O 1.54-1.57
Ni (0.4930, 0.2194, 0.7500)  6 O 2.04-2.23
Ni (0.0070, 0.7194, 0.7500)  6 O 2.04-2.23
Ni (0.5070, 0.7806, 0.2500)  6 O 2.04-2.23
Ni (0.9930, 0.2806, 0.2500)  6 O 2.04-2.23

The total energy comes out at -171.0 eV per cell. The calculation puts the energy above the most stable polymorph in this dataset at 0.028 eV/atom.